The following is a PBE-GGA calculation of a relaxed structure of Ho4Tm5Th, from the Alexandria database.

Calculated values
polymorph energy (0 for the lowest one): 0 meV/atom
formation enthalpy at 0 K: 0.19 eV/atom
DFT total energy: -46.20 eV per formula unit
crystal system: monoclinic
SG: C2/m (12)

Unit cell a=6.363 b=6.363 c=10.384 alpha=96.84 beta=96.84 gamma=49.49
Atoms (fractional coordinates):
Ho (0.058, 0.058, 0.271)
Ho (0.345, 0.345, 0.239)
Ho (0.655, 0.655, 0.761)
Ho (0.942, 0.942, 0.729)
Tm (0.180, 0.180, 0.948)
Tm (0.230, 0.230, 0.601)
Tm (0.500, 0.500, 0.500)
Tm (0.770, 0.770, 0.399)
Tm (0.820, 0.820, 0.052)
Th (0.500, 0.500, 0.000)